Entry 1:
This record from Alexandria describes a relaxed structure of ScSi3F. The functional is GGA-PBE.

CIF file:
```
data_ScSi3F
_chemical_formula_sum 'Sc1 Si3 F1'
_cell_length_a 5.122
_cell_length_b 5.122
_cell_length_c 5.122
_cell_angle_alpha 90.00
_cell_angle_beta 90.00
_cell_angle_gamma 90.00
_symmetry_space_group_name_H-M 'P 1'
_symmetry_Int_Tables_number 1
loop_
_symmetry_equiv_pos_as_xyz
'x,y,z'
loop_
_atom_site_label
_atom_site_type_symbol
_atom_site_fract_x
_atom_site_fract_y
_atom_site_fract_z
_atom_site_occupancy
Sc1 Sc 0.000 0.000 0.000 1
Si1 Si 0.000 0.000 0.500 1
Si2 Si 0.000 0.500 0.000 1
Si3 Si 0.500 0.000 0.000 1
F1 F 0.500 0.500 0.500 1
```

DFT total energy = -4.10 eV per atom
ΔE to the lowest computed polymorph = 4.69 eV per formula unit


Entry 2:
This record from Alexandria describes a relaxed structure of ScSi2F. The functional is GGA-PBE.

CIF file:
```
data_ScSi2F
_chemical_formula_sum 'Sc4 Si8 F4'
_cell_length_a 3.381
_cell_length_b 3.381
_cell_length_c 21.769
_cell_angle_alpha 90.00
_cell_angle_beta 90.00
_cell_angle_gamma 90.00
_symmetry_space_group_name_H-M 'P 1'
_symmetry_Int_Tables_number 1
loop_
_symmetry_equiv_pos_as_xyz
'x,y,z'
loop_
_atom_site_label
_atom_site_type_symbol
_atom_site_fract_x
_atom_site_fract_y
_atom_site_fract_z
_atom_site_occupancy
Sc1 Sc 0.000 0.000 0.000 1
Sc2 Sc 0.000 0.500 0.250 1
Sc3 Sc 0.500 0.000 0.750 1
Sc4 Sc 0.500 0.500 0.500 1
Si1 Si 0.247 0.250 0.125 1
Si2 Si 0.250 0.747 0.375 1
Si3 Si 0.250 0.753 0.875 1
Si4 Si 0.253 0.250 0.625 1
Si5 Si 0.747 0.750 0.625 1
Si6 Si 0.750 0.247 0.875 1
Si7 Si 0.750 0.253 0.375 1
Si8 Si 0.753 0.750 0.125 1
F1 F 0.000 0.000 0.500 1
F2 F 0.000 0.500 0.750 1
F3 F 0.500 0.000 0.250 1
F4 F 0.500 0.500 0.000 1
```

DFT total energy = -5.72 eV per atom
ΔE to the lowest computed polymorph = 0.00 eV per formula unit


Entry 3:
This record from Alexandria describes a relaxed structure of ScSi2F8. The functional is GGA-PBE.

CIF file:
```
data_ScSi2F8
_chemical_formula_sum 'Sc1 Si2 F8'
_cell_length_a 6.584
_cell_length_b 6.584
_cell_length_c 5.040
_cell_angle_alpha 91.73
_cell_angle_beta 91.73
_cell_angle_gamma 43.18
_symmetry_space_group_name_H-M 'P 1'
_symmetry_Int_Tables_number 1
loop_
_symmetry_equiv_pos_as_xyz
'x,y,z'
loop_
_atom_site_label
_atom_site_type_symbol
_atom_site_fract_x
_atom_site_fract_y
_atom_site_fract_z
_atom_site_occupancy
Sc1 Sc 0.000 0.000 0.000 1
Si1 Si 0.199 0.199 0.395 1
Si2 Si 0.801 0.801 0.605 1
F1 F 0.103 0.103 0.695 1
F2 F 0.135 0.659 0.755 1
F3 F 0.279 0.279 0.140 1
F4 F 0.341 0.865 0.245 1
F5 F 0.659 0.135 0.755 1
F6 F 0.721 0.721 0.860 1
F7 F 0.865 0.341 0.245 1
F8 F 0.897 0.897 0.305 1
```

DFT total energy = -5.74 eV per atom


Entry 4:
This record from Alexandria describes a relaxed structure of ScSi2F. The functional is GGA-PBE.

CIF file:
```
data_ScSi2F
_chemical_formula_sum 'Sc4 Si8 F4'
_cell_length_a 6.406
_cell_length_b 6.406
_cell_length_c 6.406
_cell_angle_alpha 90.00
_cell_angle_beta 90.00
_cell_angle_gamma 90.00
_symmetry_space_group_name_H-M 'P 1'
_symmetry_Int_Tables_number 1
loop_
_symmetry_equiv_pos_as_xyz
'x,y,z'
loop_
_atom_site_label
_atom_site_type_symbol
_atom_site_fract_x
_atom_site_fract_y
_atom_site_fract_z
_atom_site_occupancy
Sc1 Sc 0.000 0.000 0.000 1
Sc2 Sc 0.000 0.500 0.500 1
Sc3 Sc 0.500 0.000 0.500 1
Sc4 Sc 0.500 0.500 0.000 1
Si1 Si 0.250 0.250 0.250 1
Si2 Si 0.250 0.250 0.750 1
Si3 Si 0.250 0.750 0.250 1
Si4 Si 0.250 0.750 0.750 1
Si5 Si 0.750 0.250 0.250 1
Si6 Si 0.750 0.250 0.750 1
Si7 Si 0.750 0.750 0.250 1
Si8 Si 0.750 0.750 0.750 1
F1 F 0.000 0.000 0.500 1
F2 F 0.000 0.500 0.000 1
F3 F 0.500 0.000 0.000 1
F4 F 0.500 0.500 0.500 1
```

DFT total energy = -5.00 eV per atom
ΔE to the lowest computed polymorph = 2.87 eV per formula unit


Entry 5:
This record from Alexandria describes a relaxed structure of Sm3ScF. The functional is GGA-PBE.

CIF file:
```
data_Sm3ScF
_chemical_formula_sum 'Sm3 Sc1 F1'
_cell_length_a 5.043
_cell_length_b 5.043
_cell_length_c 5.043
_cell_angle_alpha 90.00
_cell_angle_beta 90.00
_cell_angle_gamma 90.00
_symmetry_space_group_name_H-M 'P 1'
_symmetry_Int_Tables_number 1
loop_
_symmetry_equiv_pos_as_xyz
'x,y,z'
loop_
_atom_site_label
_atom_site_type_symbol
_atom_site_fract_x
_atom_site_fract_y
_atom_site_fract_z
_atom_site_occupancy
Sm1 Sm 0.000 0.000 0.500 1
Sm2 Sm 0.000 0.500 0.000 1
Sm3 Sm 0.500 0.000 0.000 1
Sc1 Sc 0.500 0.500 0.500 1
F1 F 0.000 0.000 0.000 1
```

DFT total energy = -5.41 eV per atom


Entry 6:
This record from Alexandria describes a relaxed structure of SmScF5. The functional is GGA-PBE.

CIF file:
```
data_SmScF5
_chemical_formula_sum 'Sm2 Sc2 F10'
_cell_length_a 5.876
_cell_length_b 5.876
_cell_length_c 7.848
_cell_angle_alpha 109.18
_cell_angle_beta 109.18
_cell_angle_gamma 73.56
_symmetry_space_group_name_H-M 'P 1'
_symmetry_Int_Tables_number 1
loop_
_symmetry_equiv_pos_as_xyz
'x,y,z'
loop_
_atom_site_label
_atom_site_type_symbol
_atom_site_fract_x
_atom_site_fract_y
_atom_site_fract_z
_atom_site_occupancy
Sm1 Sm 0.024 0.976 0.750 1
Sm2 Sm 0.976 0.024 0.250 1
Sc1 Sc 0.500 0.500 0.000 1
Sc2 Sc 0.500 0.500 0.500 1
F1 F 0.178 0.815 0.018 1
F2 F 0.185 0.822 0.482 1
F3 F 0.252 0.271 0.380 1
F4 F 0.271 0.252 0.880 1
F5 F 0.355 0.645 0.750 1
F6 F 0.645 0.355 0.250 1
F7 F 0.729 0.748 0.120 1
F8 F 0.748 0.729 0.620 1
F9 F 0.815 0.178 0.518 1
F10 F 0.822 0.185 0.982 1
```

DFT total energy = -6.65 eV per atom


Entry 7:
This record from Alexandria describes a relaxed structure of SmScF. The functional is GGA-PBE.

CIF file:
```
data_SmScF
_chemical_formula_sum 'Sm2 Sc2 F2'
_cell_length_a 3.482
_cell_length_b 6.652
_cell_length_c 7.154
_cell_angle_alpha 115.80
_cell_angle_beta 90.03
_cell_angle_gamma 105.09
_symmetry_space_group_name_H-M 'P 1'
_symmetry_Int_Tables_number 1
loop_
_symmetry_equiv_pos_as_xyz
'x,y,z'
loop_
_atom_site_label
_atom_site_type_symbol
_atom_site_fract_x
_atom_site_fract_y
_atom_site_fract_z
_atom_site_occupancy
Sm1 Sm 0.000 0.000 0.000 1
Sm2 Sm 0.440 0.882 0.391 1
Sc1 Sc 0.715 0.430 0.413 1
Sc2 Sc 0.734 0.471 0.990 1
F1 F 0.553 0.110 0.768 1
F2 F 0.775 0.550 0.734 1
```

DFT total energy = -5.84 eV per atom


Entry 8:
This record from Alexandria describes a relaxed structure of SmSc2F. The functional is GGA-PBE.

CIF file:
```
data_SmSc2F
_chemical_formula_sum 'Sm3 Sc6 F3'
_cell_length_a 3.445
_cell_length_b 3.445
_cell_length_c 24.717
_cell_angle_alpha 90.00
_cell_angle_beta 90.00
_cell_angle_gamma 120.00
_symmetry_space_group_name_H-M 'P 1'
_symmetry_Int_Tables_number 1
loop_
_symmetry_equiv_pos_as_xyz
'x,y,z'
loop_
_atom_site_label
_atom_site_type_symbol
_atom_site_fract_x
_atom_site_fract_y
_atom_site_fract_z
_atom_site_occupancy
Sm1 Sm 0.000 0.000 0.000 1
Sm2 Sm 0.333 0.667 0.667 1
Sm3 Sm 0.667 0.333 0.333 1
Sc1 Sc 0.000 0.000 0.222 1
Sc2 Sc 0.000 0.000 0.778 1
Sc3 Sc 0.333 0.667 0.444 1
Sc4 Sc 0.333 0.667 0.889 1
Sc5 Sc 0.667 0.333 0.111 1
Sc6 Sc 0.667 0.333 0.556 1
F1 F 0.000 0.000 0.500 1
F2 F 0.333 0.667 0.167 1
F3 F 0.667 0.333 0.833 1
```

DFT total energy = -5.86 eV per atom


Energy relative to the elements, uncorrected, record by record: 18.4, -22.1, -65.0, -5.6, -21.7, -86.2, -35.3, -24.2 kcal/mol of atoms